(1)
NpCuRuO6, optimized geometry, DFT PBE-GGA; symmetry = P-31c, No. 163; crystal system = trigonal; calculated density = 7.86 Mg/m³
1.0
-3.024 2.484 -3.371
2.486 -4.293 -1.437
-7.109 -5.014 2.682
Ru O Cu Np
2 12 2 2
Direct
0.000 0.000 0.000
0.000 0.000 0.500
0.678 0.685 0.624
0.315 0.322 0.876
0.685 0.678 0.124
0.685 0.007 0.376
0.007 0.685 0.876
0.315 0.993 0.624
0.322 0.315 0.376
0.007 0.322 0.624
0.678 0.993 0.876
0.322 0.007 0.124
0.993 0.678 0.376
0.993 0.315 0.124
0.333 0.667 0.250
0.667 0.333 0.750
0.667 0.333 0.250
0.333 0.667 0.750

(2)
NpCuSbO, optimized geometry, DFT PBE-GGA; symmetry = P4/nmm, No. 129; crystal system = tetragonal; calculated density = 10.09 Mg/m³
1.0
-3.245 2.019 -1.111
0.253 -1.596 -3.637
-5.241 -6.944 2.683
Sb O Np Cu
2 2 2 2
Direct
0.000 0.500 0.813
0.500 0.000 0.187
0.000 0.000 0.500
0.500 0.500 0.500
0.500 0.000 0.631
0.000 0.500 0.369
0.500 0.500 0.000
0.000 0.000 0.000

(3)
NpScCu2O8, optimized geometry, DFT PBE-GGA; symmetry = I-4m2, No. 119; crystal system = tetragonal; calculated density = 6.06 Mg/m³
1.0
5.745 0.412 0.000
-2.179 5.332 0.000
-1.783 -2.872 4.663
O Cu Np Sc
8 2 1 1
Direct
0.296 0.112 0.816
0.888 0.704 0.184
0.955 0.651 0.696
0.955 0.259 0.304
0.296 0.479 0.184
0.741 0.045 0.696
0.521 0.704 0.816
0.349 0.045 0.304
0.750 0.250 0.500
0.500 0.500 0.000
0.000 0.000 0.000
0.250 0.750 0.500

(4)
NpSc2CuO8, optimized geometry, DFT PBE-GGA; symmetry = P-1, No. 2; crystal system = triclinic; calculated density = 5.70 Mg/m³
1.0
4.811 -0.192 -0.219
-0.180 4.809 0.217
-0.287 0.297 6.565
O Cu Sc Np
8 1 2 1
Direct
0.707 0.709 0.500
0.171 0.828 0.738
0.293 0.291 0.500
0.306 0.303 0.000
0.785 0.218 0.802
0.694 0.697 0.000
0.215 0.782 0.198
0.829 0.172 0.262
0.000 0.000 0.500
0.467 0.533 0.728
0.533 0.467 0.272
0.000 0.000 0.000

Calculated values (states/eV per cell) of N(E_F) for the records, taken in order: 18.9, 15.1, 9.9, 0.5.
Calculated values (eV/atom) of calculated total energy for the records, taken in order: -7.7810, -7.8209, -7.1908, -8.2226.